Compound: RbTlFe2Pd
Source: the Alexandria database
Functional: PBE-GGA
Structure: optimized geometry

D(E_F) (states/eV/cell): 5.4
Total energy (eV per atom): -3.04
Size of the total moment (μB per formula unit): 5.517

a = 4.9436 Å, b = 4.9436 Å, c = 5.2114 Å
α = 90.00°, β = 90.00°, γ = 90.00°
With the nearest neighbours (Å) after each atom.
Space group P4/mmm (No. 123)
Asymmetric unit:
Rb1 0.0000 0.0000 0.0000 [1 per cell]  4 Fe 2.47, 2 Pd 2.61
Tl1 0.5000 0.5000 0.5000 [1 per cell]  4 Pd 3.50, 8 Fe 3.59
Fe1 0.0000 0.5000 0.0000 [2 per cell]  2 Rb 2.47
Pd1 0.0000 0.0000 0.5000 [1 per cell]  2 Rb 2.61

***

Compound: RbNaVTe3
Source: the Alexandria database
Functional: PBE-GGA
Structure: optimized geometry

D(E_F) (states/eV/cell): 4.2
Energy relative to the elements, uncorrected (eV per atom): -0.619
Size of the total moment (μB per formula unit): 1.025

a = 8.1251 Å, b = 15.1285 Å, c = 7.4954 Å
α = 90.00°, β = 90.00°, γ = 90.00°
With the nearest neighbours (Å) after each atom.
Space group Cmcm (No. 63)
Asymmetric unit:
Rb1 0.0000 0.2096 0.2500 [4 per cell]  8 Te 3.76-4.18, 1 V 4.08
Na1 0.0000 0.4302 0.7500 [4 per cell]  5 Te 3.08-3.17
V1 0.0000 0.0604 0.7500 [4 per cell]  5 Te 2.51-2.71
Te1 0.0000 0.2264 0.7500 [4 per cell]  1 V 2.51
Te2 0.2136 0.0000 0.0000 [8 per cell]  2 V 2.71